# 1
Entry from the Alexandria database: a relaxed BaAlTeI2 crystal (PBE-GGA).

Results
For the energy above the lowest structure with this stoichiometry, the calculation gives 0 meV per atom. For the volume, the calculation gives 184.2 Å³ per cell. The total energy is -3.26 eV per atom. The space group is No. 123. For the energy relative to the elements, uncorrected, the calculation gives -4.39 eV/f.u.

Cell lengths 5.7015, 5.7015, 5.6673 Å; angles 90.00, 90.00, 90.00 degrees
Closest atoms and distances in Å follow each position.
Sites, in units of the cell vectors:
Te 0.0000 0.0000 0.5000  2 Al 2.83
I 0.0000 0.5000 0.0000  2 Al 2.85
I 0.5000 0.0000 0.0000  2 Al 2.85
Al 0.0000 0.0000 0.0000  2 Te 2.83, 4 I 2.85
Ba 0.5000 0.5000 0.5000  8 I 4.02, 4 Te 4.03

---

# 2
Entry from the Alexandria database: a relaxed Tb3DyEr3Te8 crystal (PBE-GGA).

Results
For the volume, the calculation gives 458.9 Å³ per cell. The total energy is -5.17 eV per atom. The space group is No. 166. For the energy relative to the elements, uncorrected, the calculation gives -20.25 eV/f.u.

Cell lengths 8.6577, 8.6571, 8.6584 Å; angles 120.00, 90.00, 120.00 degrees
Closest atoms and distances in Å follow each position.
Sites, in units of the cell vectors:
Te 0.7485 0.4970 0.7455  3 Er 3.04, 3 Tb 3.08
Te 0.2589 0.0030 0.2470  2 Er 3.04, 2 Tb 3.08, 1 Dy 3.13
Te 0.7441 0.0030 0.2470  2 Er 3.04, 2 Tb 3.08, 1 Dy 3.13
Te 0.7411 0.9970 0.7530  2 Er 3.04, 2 Tb 3.08, 1 Dy 3.13
Te 0.2559 0.9970 0.7530  2 Er 3.04, 2 Tb 3.08, 1 Dy 3.13
Te 0.7441 0.4881 0.2470  2 Er 3.04, 2 Tb 3.08, 1 Dy 3.13
Te 0.2559 0.5119 0.7530  2 Er 3.04, 2 Tb 3.08, 1 Dy 3.13
Te 0.2515 0.5030 0.2545  3 Er 3.04, 3 Tb 3.08
Er 0.0000 0.5000 0.5000  6 Te 3.04
Er 0.5000 0.0000 0.5000  6 Te 3.04
Er 0.5000 0.5000 0.5000  6 Te 3.04
Tb 0.5000 0.5000 0.0000  6 Te 3.08
Tb 0.0000 0.0000 0.0000  6 Te 3.08
Tb 0.0000 0.5000 0.0000  6 Te 3.08
Dy 0.0000 0.0000 0.5000  6 Te 3.13

---

# 3
Entry from the Alexandria database: a relaxed SbTe2WI crystal (PBE-GGA).

Results
For the energy above the lowest structure with this stoichiometry, the calculation gives 0 meV per atom. For the volume, the calculation gives 151.7 Å³ per cell. The total energy is -4.56 eV per atom. The space group is No. 123. For the energy relative to the elements, uncorrected, the calculation gives 2.13 eV/f.u.

Cell lengths 5.2577, 5.2577, 5.4867 Å; angles 90.00, 90.00, 90.00 degrees
Closest atoms and distances in Å follow each position.
Sites, in units of the cell vectors:
I 0.5000 0.5000 0.5000  4 Sb 3.72, 8 Te 3.80
Te 0.0000 0.5000 0.0000  2 W 2.63
Te 0.5000 0.0000 0.0000  2 W 2.63
Sb 0.0000 0.0000 0.5000  2 W 2.74
W 0.0000 0.0000 0.0000  4 Te 2.63, 2 Sb 2.74